Record 1
Below is an optimized crystal structure of Mg2Sc2B, with properties calculated at the PBE-GGA level.

Values from the calculation:
For the energy relative to the lowest polymorph listed for this composition, the calculation gives 0.0 meV per atom. As for the formation energy: 0.32 eV per atom. Its space group is P4/mbm. The value obtained for the volume is 219.7 Å³/cell.

Unit cell a=6.456 b=6.456 c=5.272 alpha=90.00 beta=90.00 gamma=90.00
Element x y z (fractional)
Sc1 0.330 0.830 0.000
Sc2 0.830 0.670 0.000
Sc3 0.670 0.170 0.000
Sc4 0.170 0.330 0.000
Mg1 0.158 0.658 0.500
Mg2 0.658 0.842 0.500
Mg3 0.842 0.342 0.500
Mg4 0.342 0.158 0.500
B1 0.000 0.000 0.000
B2 0.500 0.500 0.000

=====

Record 2
Below is an optimized crystal structure of PuSc, with properties calculated at the PBE-GGA level.

Values from the calculation:
As for the formation energy: 0.19 eV per atom. Its space group is P4/nmm. The value obtained for the volume is 84.8 Å³/cell.

Unit cell a=3.261 b=3.261 c=7.970 alpha=90.00 beta=90.01 gamma=90.00
Element x y z (fractional)
Sc1 0.750 0.750 0.655
Sc2 0.250 0.250 0.345
Pu1 0.750 0.750 0.057
Pu2 0.250 0.250 0.943

=====

Record 3
Below is an optimized crystal structure of Zr2Si3, with properties calculated at the PBE-GGA level.

Values from the calculation:
Its uncorrected formation energy is -0.459 eV/atom. Its space group is R-3m. The value obtained for the volume is 89.6 Å³/cell.

Unit cell a=6.976 b=6.976 c=6.976 alpha=33.00 beta=33.00 gamma=33.00
Element x y z (fractional)
Zr1 0.411 0.411 0.411
Zr2 0.589 0.589 0.589
Si1 0.000 0.000 0.000
Si2 0.830 0.830 0.830
Si3 0.170 0.170 0.170

=====

Record 4
Below is an optimized crystal structure of HfI3Cl, with properties calculated at the PBE-GGA level.

Values from the calculation:
Its uncorrected formation energy is 0.951 eV/atom. For the energy relative to the lowest polymorph listed for this composition, the calculation gives 2015.3 meV per atom. Its space group is Pm-3m. The value obtained for the volume is 182.6 Å³/cell.

Unit cell a=5.673 b=5.673 c=5.673 alpha=90.00 beta=90.00 gamma=90.00
Element x y z (fractional)
I1 0.000 0.500 0.000
I2 0.000 0.000 0.500
I3 0.500 0.000 0.000
Hf1 0.500 0.500 0.500
Cl1 0.000 0.000 0.000